# 1
A relaxed Pr5Th2Mg crystal, computed with PBE-GGA.

Lattice parameters (Å, degrees): 3.4937 11.5305 13.4567 90.00 90.00 90.00
Fractional positions:
Pr  0.0000  0.0000  0.0000
Pr  0.0000  0.2583  0.3697
Pr  0.0000  0.2583  0.6303
Pr  0.0000  0.7417  0.3697
Pr  0.0000  0.7417  0.6303
Pr  0.5000  0.2417  0.1303
Pr  0.5000  0.2417  0.8697
Pr  0.5000  0.5000  0.5000
Pr  0.5000  0.7583  0.1303
Pr  0.5000  0.7583  0.8697
Th  0.0000  0.0000  0.2620
Th  0.0000  0.0000  0.7380
Th  0.5000  0.5000  0.2380
Th  0.5000  0.5000  0.7620
Mg  0.0000  0.5000  0.0000
Mg  0.5000  0.0000  0.5000

Results
The crystal system is orthorhombic. Its formation energy is 0.12 eV per atom.



# 2
A relaxed Ce4I3Cl7 crystal, computed with PBE-GGA.

Lattice parameters (Å, degrees): 9.5676 9.5676 11.5655 124.04 124.04 27.67
Fractional positions:
Ce  0.1077  0.1077  0.2988
Ce  0.3305  0.3305  0.2298
Ce  0.6695  0.6695  0.7702
Ce  0.8923  0.8923  0.7012
I  0.0000  0.0000  0.5000
I  0.3139  0.3139  0.8118
I  0.6861  0.6861  0.1882
Cl  0.0000  0.0000  0.0000
Cl  0.1699  0.1699  0.9228
Cl  0.3128  0.3128  0.4784
Cl  0.4904  0.4904  0.2297
Cl  0.5096  0.5096  0.7703
Cl  0.6872  0.6872  0.5216
Cl  0.8301  0.8301  0.0772

Results
The crystal system is monoclinic.



# 3
A relaxed KTl2 crystal, computed with PBE-GGA.

Lattice parameters (Å, degrees): 7.3546 5.2903 10.6430 90.00 90.00 90.00
Fractional positions:
K  0.1352  0.2500  0.0846
K  0.3648  0.7500  0.5846
K  0.6352  0.2500  0.4154
K  0.8648  0.7500  0.9154
Tl  0.0808  0.2500  0.7287
Tl  0.1227  0.2500  0.4172
Tl  0.3773  0.7500  0.9172
Tl  0.4192  0.7500  0.2287
Tl  0.5808  0.2500  0.7713
Tl  0.6227  0.2500  0.0828
Tl  0.8773  0.7500  0.5828
Tl  0.9192  0.7500  0.2713

Results
The crystal system is orthorhombic. Its formation energy is -0.06 eV per atom. Its energy relative to the lowest polymorph listed for this composition is 1.34 kcal/mol of atoms.



The evaluated DFT total energy for the records listed, in turn: -4.92; -4.75; -2.00 eV per atom.
The evaluated density of states at the Fermi level for the records listed, in turn: 18.5; 34.7; 7.7 states/eV per cell.
The evaluated volume for the records listed, in turn: 33.88; 28.69; 34.51 Å³/atom.